Computed, not measured: an optimized crystal structure of TbTc3B2 at the PBE level of DFT.

Lattice parameters (Å, degrees): 5.5159 5.5159 3.1619 90.00 90.00 120.00
Space group P6/mmm (No. 191)
One atom of each set of equivalent atoms:
Tb (0.0000, 0.0000, 0.0000)
Tc (0.0000, 0.5000, 0.5000)
B (0.3333, 0.6667, 0.0000)

Values from the calculation:
E_tot = -8.45 eV/atom
DFT formation energy = -1.611 eV/f.u.

***

Computed, not measured: an optimized crystal structure of Tb2Tc3B4 at the PBE level of DFT.

Lattice parameters (Å, degrees): 5.783 9.036 9.772 90.00 90.00 90.00
Space group Fmmm (No. 69)
One atom of each set of equivalent atoms:
Tb (0.000, 0.000, 0.161)
Tc (0.000, 0.000, 0.500)
Tc (0.250, 0.250, 0.000)
B (0.000, 0.214, 0.334)

Values from the calculation:
E_tot = -7.48 eV/atom
DFT formation energy = -0.267 eV/f.u.

***

Computed, not measured: an optimized crystal structure of TbTc2B3 at the PBE level of DFT.

Lattice parameters (Å, degrees): 8.611 5.976 5.675 90.00 90.00 90.00
Space group Cmcm (No. 63)
One atom of each set of equivalent atoms:
Tb (0.000, 0.167, 0.250)
Tc (0.198, 0.500, 0.000)
B (0.000, 0.367, 0.750)
B (0.173, 0.207, 0.750)

Values from the calculation:
E_tot = -7.99 eV/atom
DFT formation energy = -2.563 eV/f.u.

***

Computed, not measured: an optimized crystal structure of TbTc2B6 at the PBE level of DFT.

Lattice parameters (Å, degrees): 3.141 6.783 8.545 90.00 90.00 90.00
Space group Immm (No. 71)
One atom of each set of equivalent atoms:
Tb (0.000, 0.000, 0.000)
Tc (0.000, 0.500, 0.161)
B (0.000, 0.153, 0.500)
B (0.000, 0.244, 0.310)

Values from the calculation:
E_tot = -7.74 eV/atom
DFT formation energy = -4.230 eV/f.u.

***

Computed, not measured: an optimized crystal structure of Tb2TcB10 at the PBE level of DFT.

Lattice parameters (Å, degrees): 5.747 11.430 4.166 90.00 90.00 90.00
Space group Pbam (No. 55)
One atom of each set of equivalent atoms:
Tb (0.222, 0.133, 0.000)
Tc (0.000, 0.500, 0.500)
B (0.063, 0.307, 0.500)
B (0.120, 0.959, 0.500)
B (0.128, 0.802, 0.500)
B (0.227, 0.381, 0.200)

Values from the calculation:
E_tot = -7.06 eV/atom
DFT formation energy = -5.375 eV/f.u.

***

Computed, not measured: an optimized crystal structure of TbTc3B3 at the PBE level of DFT.

Lattice parameters (Å, degrees): 8.0794 8.0794 3.1136 90.00 90.00 120.00
Space group P6_3/m (No. 176)
One atom of each set of equivalent atoms:
Tb (0.3333, 0.6667, 0.2500)
Tc (0.0672, 0.3076, 0.7500)
B (0.0376, 0.5699, 0.7500)

Values from the calculation:
E_tot = -8.28 eV/atom
DFT formation energy = -2.189 eV/f.u.